[1]
# CrMoC

CrMoC after structural relaxation (PBE, Alexandria via LeMat-Bulk).

Cell: 4.5514 2.9214 5.2272 Å, 90.00 102.77 90.00°
Space group P2_1/m (No. 11)
One atom of each set of equivalent atoms:
Cr (0.1574, 0.2500, 0.1709) [2 per cell]
Mo (0.3197, 0.2500, 0.7210) [2 per cell]
C (0.2225, 0.7500, 0.4122) [2 per cell]

Calculated values
Calculated total energy = -57.95 eV/cell
Formation enthalpy at 0 K = 0.235 eV per atom
N(E_F) = 0.532 states/eV per atom

[2]
# CrMo3C

CrMo3C after structural relaxation (PBE, Alexandria via LeMat-Bulk).

Cell: 4.1114 4.1114 4.1114 Å, 90.00 90.00 90.00°
Space group Pm-3m (No. 221)
One atom of each set of equivalent atoms:
Cr (0.0000, 0.0000, 0.0000) [1 per cell]
Mo (0.0000, 0.5000, 0.5000) [3 per cell]
C (0.5000, 0.5000, 0.5000) [1 per cell]

Calculated values
Calculated total energy = -49.81 eV/cell
Formation enthalpy at 0 K = 0.305 eV per atom
N(E_F) = 1.221 states/eV per atom

[3]
# Cr3MoC

Cr3MoC after structural relaxation (PBE, Alexandria via LeMat-Bulk).

Cell: 3.8673 3.8673 3.8673 Å, 90.00 90.00 90.00°
Space group Pm-3m (No. 221)
One atom of each set of equivalent atoms:
Cr (0.0000, 0.0000, 0.5000) [3 per cell]
Mo (0.5000, 0.5000, 0.5000) [1 per cell]
C (0.0000, 0.0000, 0.0000) [1 per cell]

Calculated values
Calculated total energy = -48.41 eV/cell
Formation enthalpy at 0 K = 0.103 eV per atom
N(E_F) = 1.303 states/eV per atom

[4]
# Cr3Mo2C2

Cr3Mo2C2 after structural relaxation (PBE, Alexandria via LeMat-Bulk).

Cell: 8.5705 2.8700 6.6383 Å, 90.00 114.20 90.00°
Space group C2/m (No. 12)
One atom of each set of equivalent atoms:
Cr (0.0000, 0.0000, 0.0000) [2 per cell]
Cr (0.1242, 0.0000, 0.4375) [4 per cell]
Mo (0.1617, 0.5000, 0.7944) [4 per cell]
C (0.1461, 0.5000, 0.2344) [4 per cell]

Calculated values
Calculated total energy = -138.84 eV/cell
Formation enthalpy at 0 K = -0.063 eV per atom
N(E_F) = 0.762 states/eV per atom

[5]
# Cr3MoC

Cr3MoC after structural relaxation (PBE, Alexandria via LeMat-Bulk).

Cell: 4.4277 4.4277 4.4277 Å, 90.00 90.00 90.00°
Space group Pm-3m (No. 221)
One atom of each set of equivalent atoms:
Cr (0.0000, 0.0000, 0.5000) [3 per cell]
Mo (0.0000, 0.0000, 0.0000) [1 per cell]
C (0.5000, 0.5000, 0.5000) [1 per cell]

Calculated values
Calculated total energy = -34.17 eV/cell
Formation enthalpy at 0 K = 2.950 eV per atom
N(E_F) = 2.483 states/eV per atom

[6]
# NbCrMo2C

NbCrMo2C after structural relaxation (PBE, Alexandria via LeMat-Bulk).

Cell: 4.3914 4.3914 4.6354 Å, 90.00 90.00 90.00°
Space group P4/mmm (No. 123)
One atom of each set of equivalent atoms:
Nb (0.0000, 0.0000, 0.0000) [1 per cell]
Cr (0.0000, 0.0000, 0.5000) [1 per cell]
Mo (0.0000, 0.5000, 0.5000) [2 per cell]
C (0.5000, 0.5000, 0.0000) [1 per cell]

Calculated values
Calculated total energy = -39.35 eV/cell
Formation enthalpy at 0 K = 2.247 eV per atom
N(E_F) = 0.950 states/eV per atom